No. 1
Computed, not measured: crystalline FeBiPt at its relaxed geometry at the PBE-GGA level of DFT.

```
9
Lattice="6.7846 0.0000 0.0000 -3.3923 5.8756 0.0000 0.0000 0.0000 4.0218" Properties=species:S:1:pos:R:3 pbc="T T T"
Fe -0.8450 1.4636 0.0000
Fe 1.6900 0.0000 0.0000
Fe 2.5473 4.4121 0.0000
Bi 0.0000 0.0000 2.0109
Bi 0.0000 3.9171 0.0000
Bi 3.3923 1.9585 0.0000
Pt -1.9958 3.4569 2.0109
Pt 1.3964 2.4187 2.0109
Pt 3.9917 0.0000 2.0109
```

Computed properties:
Total moment (μB/atom): 0.70
Calculated total energy (eV/cell): -51.5
SG: P-62m



No. 2
Computed, not measured: crystalline FeBiPt at its relaxed geometry at the PBE-GGA level of DFT.

```
9
Lattice="6.9724 0.0000 0.0000 -3.4862 6.0383 0.0000 0.0000 0.0000 4.2583" Properties=species:S:1:pos:R:3 pbc="T T T"
Fe -1.9899 3.4466 0.0000
Fe 1.4963 2.5917 0.0000
Fe 3.9798 0.0000 0.0000
Bi 0.0000 0.0000 0.0000
Bi 0.0000 4.0255 2.1291
Bi 3.4862 2.0128 2.1291
Pt -0.8714 1.5093 2.1291
Pt 1.7428 0.0000 2.1291
Pt 2.6148 4.5290 2.1291
```

Computed properties:
Total moment (μB/atom): 0.97
Calculated total energy (eV/cell): -51.0
SG: P-62m



No. 3
Computed, not measured: crystalline FeBiPt at its relaxed geometry at the PBE-GGA level of DFT.

```
12
Lattice="6.3465 0.0000 0.0000 0.0000 6.3465 0.0000 0.0000 0.0000 6.3465" Properties=species:S:1:pos:R:3 pbc="T T T"
Fe 0.0000 0.0000 0.0000
Fe 0.0000 3.1732 3.1732
Fe 3.1732 0.0000 3.1732
Fe 3.1732 3.1732 0.0000
Bi 0.0000 0.0000 3.1732
Bi 0.0000 3.1732 0.0000
Bi 3.1732 0.0000 0.0000
Bi 3.1732 3.1732 3.1732
Pt 1.5866 1.5866 1.5866
Pt 1.5866 4.7599 4.7599
Pt 4.7599 1.5866 4.7599
Pt 4.7599 4.7599 1.5866
```

Computed properties:
Total moment (μB/atom): 1.17
Calculated total energy (eV/cell): -72.1
SG: F-43m



Q: Among the records above, which one has the lowest calculated total energy?
A: number 3



Q: total moment of number 1 (FeBiPt)?
A: 0.70 μB/atom